Entry 1:
Here is a geometry-optimized GdH structure from the Alexandria database. Energies are from PBE.

Geometry as CIF:
```
data_GdH
_cell_length_a 3.381
_cell_length_b 3.392
_cell_length_c 5.686
_cell_angle_alpha 90.00
_cell_angle_beta 90.00
_cell_angle_gamma 90.00
_symmetry_space_group_name_H-M 'P m m n'
_symmetry_Int_Tables_number 59
loop_
_symmetry_equiv_pos_as_xyz
'x,y,z'
'-x,-y,-z'
'-x+1/2,-y+1/2,z'
'x+1/2,y+1/2,-z'
'x+1/2,-y,-z'
'-x+1/2,y,z'
'-x,y+1/2,-z'
'x,-y+1/2,z'
loop_
_atom_site_label
_atom_site_type_symbol
_atom_site_fract_x
_atom_site_fract_y
_atom_site_fract_z
Gd1 Gd 0.250 0.250 0.235
H1 H 0.250 0.250 0.829
```

Summary:
- final energy (eV/atom) = -9.09


Entry 2:
Here is a geometry-optimized BaCrHg2 structure from the Alexandria database. Energies are from PBE.

Geometry as CIF:
```
data_BaCrHg2
_cell_length_a 5.466
_cell_length_b 5.466
_cell_length_c 7.514
_cell_angle_alpha 90.00
_cell_angle_beta 90.00
_cell_angle_gamma 90.00
_symmetry_space_group_name_H-M 'I -4 m 2'
_symmetry_Int_Tables_number 119
_symmetry_space_group_name_Hall 'I -4 -2'
loop_
_atom_site_label
_atom_site_type_symbol
_atom_site_fract_x
_atom_site_fract_y
_atom_site_fract_z
Ba1 Ba 0.000 0.000 0.000
Cr1 Cr 0.000 0.500 0.250
Hg1 Hg 0.000 0.000 0.500
Hg2 Hg 0.000 0.500 0.750
```

Summary:
- formation energy from the elements (eV/atom) = 0.1987


Entry 3:
Here is a geometry-optimized Pm6Hg2Te3Pb structure from the Alexandria database. Energies are from PBE.

Geometry as CIF:
```
data_Pm6Hg2Te3Pb
_cell_length_a 19.998
_cell_length_b 4.391
_cell_length_c 9.118
_cell_angle_alpha 90.00
_cell_angle_beta 108.99
_cell_angle_gamma 90.00
_symmetry_space_group_name_H-M 'C 1 2/m 1'
_symmetry_Int_Tables_number 12
_symmetry_space_group_name_Hall '-C 2y'
loop_
_atom_site_label
_atom_site_type_symbol
_atom_site_fract_x
_atom_site_fract_y
_atom_site_fract_z
Pm1 Pm 0.005 0.000 0.251
Pm2 Pm 0.163 0.500 0.604
Pm3 Pm 0.169 0.500 0.106
Hg1 Hg 0.179 0.000 0.370
Te1 Te 0.000 0.500 0.500
Te2 Te 0.163 0.000 0.852
Pb1 Pb 0.000 0.500 0.000
```

Summary:
- final energy (eV/atom) = -4.47


Entry 4:
Here is a geometry-optimized ZnCrTc3 structure from the Alexandria database. Energies are from PBE.

Geometry as CIF:
```
data_ZnCrTc3
_cell_length_a 4.421
_cell_length_b 4.421
_cell_length_c 4.421
_cell_angle_alpha 90.00
_cell_angle_beta 90.00
_cell_angle_gamma 90.00
_symmetry_space_group_name_H-M 'P m -3 m'
_symmetry_Int_Tables_number 221
_symmetry_space_group_name_Hall '-P 4 2 3'
loop_
_atom_site_label
_atom_site_type_symbol
_atom_site_fract_x
_atom_site_fract_y
_atom_site_fract_z
Zn1 Zn 0.000 0.000 0.000
Cr1 Cr 0.500 0.500 0.500
Tc1 Tc 0.000 0.000 0.500
```

Summary:
- formation energy from the elements (eV/atom) = 1.9447
- relative energy among the computed polymorphs (meV/atom) = 741


Entry 5:
Here is a geometry-optimized RbMg2TiCl8 structure from the Alexandria database. Energies are from PBE.

Geometry as CIF:
```
data_RbMg2TiCl8
_cell_length_a 6.376
_cell_length_b 6.382
_cell_length_c 8.922
_cell_angle_alpha 76.46
_cell_angle_beta 76.71
_cell_angle_gamma 74.88
_symmetry_space_group_name_H-M 'P -1'
_symmetry_Int_Tables_number 2
_symmetry_space_group_name_Hall '-P 1'
loop_
_atom_site_label
_atom_site_type_symbol
_atom_site_fract_x
_atom_site_fract_y
_atom_site_fract_z
Rb1 Rb 0.000 0.000 0.000
Mg1 Mg 0.450 0.449 0.220
Ti1 Ti 0.000 0.000 0.500
Cl1 Cl 0.194 0.741 0.706
Cl2 Cl 0.246 0.239 0.462
Cl3 Cl 0.254 0.801 0.297
Cl4 Cl 0.340 0.330 0.020
```

Summary:
- final energy (eV/atom) = -3.94


Entry 6:
Here is a geometry-optimized Be2CdTc structure from the Alexandria database. Energies are from PBE.

Geometry as CIF:
```
data_Be2CdTc
_cell_length_a 2.848
_cell_length_b 2.848
_cell_length_c 6.363
_cell_angle_alpha 90.00
_cell_angle_beta 90.00
_cell_angle_gamma 90.00
_symmetry_space_group_name_H-M 'P 4 m m'
_symmetry_Int_Tables_number 99
_symmetry_space_group_name_Hall 'P 4 -2'
loop_
_atom_site_label
_atom_site_type_symbol
_atom_site_fract_x
_atom_site_fract_y
_atom_site_fract_z
Be1 Be 0.000 0.000 0.000
Be2 Be 0.500 0.500 0.164
Cd1 Cd 0.000 0.000 0.449
Tc1 Tc 0.500 0.500 0.790
```

Summary:
- formation energy from the elements (eV/atom) = 0.2629


Entry 7:
Here is a geometry-optimized GeH structure from the Alexandria database. Energies are from PBE.

Geometry as CIF:
```
data_GeH
_cell_length_a 4.0592
_cell_length_b 4.0592
_cell_length_c 15.9013
_cell_angle_alpha 90.00
_cell_angle_beta 90.00
_cell_angle_gamma 120.00
_symmetry_space_group_name_H-M 'R -3 m'
_symmetry_Int_Tables_number 166
_symmetry_space_group_name_Hall '-R 3 2"'
loop_
_atom_site_label
_atom_site_type_symbol
_atom_site_fract_x
_atom_site_fract_y
_atom_site_fract_z
Ge1 Ge 0.0000 0.0000 0.1898
H1 H 0.0000 0.0000 0.2871
```

Summary:
- final energy (eV/atom) = -3.90


Entry 8:
Here is a geometry-optimized SrPm2Sm structure from the Alexandria database. Energies are from PBE.

Geometry as CIF:
```
data_SrPm2Sm
_cell_length_a 3.6785
_cell_length_b 3.6785
_cell_length_c 39.2019
_cell_angle_alpha 90.00
_cell_angle_beta 90.00
_cell_angle_gamma 120.00
_symmetry_space_group_name_H-M 'R -3 m'
_symmetry_Int_Tables_number 166
_symmetry_space_group_name_Hall '-R 3 2"'
loop_
_atom_site_label
_atom_site_type_symbol
_atom_site_fract_x
_atom_site_fract_y
_atom_site_fract_z
Sr1 Sr 0.0000 0.0000 0.0000
Pm1 Pm 0.0000 0.0000 0.0925
Sm1 Sm 0.0000 0.0000 0.5000
```

Summary:
- formation energy from the elements (eV/atom) = 0.1865
- relative energy among the computed polymorphs (meV/atom) = 94